The following is a PBE calculation of a relaxed structure of ScCd2Os, from Alexandria.

Structure (POSCAR):
```
ScCd2Os
1.0
2.959 0.000 0.000
0.000 2.959 0.000
0.000 0.000 8.659
Sc Cd Os
1 2 1
direct
0.000 0.000 0.000
0.500 0.500 0.269
0.500 0.500 0.731
0.000 0.000 0.500
```

Results
- DOS at the Fermi energy (states/eV/atom) = 1.090
- energy above the most stable polymorph in this dataset (meV/atom) = 363
- space-group type = P4/mmm
- magnetic moment (μB/cell) = 1.0
- formation energy from the elements (meV per atom) = 339
- calculated total energy (eV/cell) = -18.04